1.
The following is a PBE-GGA calculation of a relaxed structure of ZnNiCl, from Alexandria via LeMat-Bulk.

```
ZnNiCl
1.0
3.065 0.000 0.000
-1.532 3.636 0.000
0.000 0.000 10.837
Cl Zn Ni
2 2 2
direct
0.188 0.376 0.235 Cl
0.188 0.376 0.765 Cl
0.406 0.811 0.000 Zn
0.436 0.872 0.500 Zn
0.725 0.449 0.384 Ni
0.725 0.449 0.616 Ni
```

Values from the calculation:
Excess energy over the best structure of this formula in the dataset, eV per atom: 0.027
E_form (uncorrected), eV/f.u.: -0.10


2.
The following is a PBE-GGA calculation of a relaxed structure of Nd6SnHg2, from Alexandria via LeMat-Bulk.

```
Nd6SnHg2
1.0
-0.265 -5.479 -7.292
7.865 0.037 4.627
-5.769 -2.596 6.576
Nd Hg Sn
12 4 2
direct
0.715 0.043 0.327 Nd
0.285 0.612 0.327 Nd
0.195 0.769 0.964 Nd
0.100 0.291 0.809 Nd
0.195 0.231 0.426 Nd
0.715 0.388 0.673 Nd
0.805 0.231 0.036 Nd
0.285 0.957 0.673 Nd
0.900 0.709 0.191 Nd
0.518 0.709 0.809 Nd
0.482 0.291 0.191 Nd
0.805 0.769 0.574 Nd
0.500 0.632 0.132 Hg
0.500 0.368 0.868 Hg
0.652 0.000 0.652 Hg
0.348 0.000 0.348 Hg
0.000 0.500 0.500 Sn
0.000 0.000 0.000 Sn
```

Values from the calculation:
ΔH_f (0 K), eV per atom: -0.33